A plane-wave DFT calculation with PBE-GGA was carried out for a relaxed GaSiNi2 crystal.

Values from the calculation:
DOS at the Fermi energy   0.88 states/eV/cell
V   11.8 Å³ per atom
Electronic total energy   -5.34 eV per atom
E_form (uncorrected)   -7.73 kcal/mol of atoms
Crystal system   tetragonal

Lattice parameters (Å, degrees): 4.0296 4.0296 2.9170 90.00 90.00 90.00
Positions (direct):
Ga: 0.0000 0.0000 0.0000
Si: 0.5000 0.5000 0.0000
Ni: 0.0000 0.5000 0.5000
Ni: 0.5000 0.0000 0.5000